Run i
DFT (GGA-PBE) results for a geometry-optimized TeSe2Br structure.

Cell and atoms, written as CIF:
```
data_TeSe2Br
_chemical_formula_sum 'Te3 Se6 Br3'
_cell_length_a 4.0762
_cell_length_b 4.0762
_cell_length_c 26.2844
_cell_angle_alpha 90.00
_cell_angle_beta 90.00
_cell_angle_gamma 120.00
_space_group_name_H-M_alt 'R -3 m'
_space_group_IT_number 166
_space_group_name_Hall '-R 3 2"'
loop_
_atom_site_label
_atom_site_type_symbol
_atom_site_fract_x
_atom_site_fract_y
_atom_site_fract_z
Te1 Te 0.0000 0.0000 0.0000
Se1 Se 0.0000 0.0000 0.3986
Br1 Br 0.0000 0.0000 0.5000
```

Calculated values
Mass density: 4.81 g cm⁻³
N(E_F): 7.28 states/eV/cell


Run ii
DFT (GGA-PBE) results for a geometry-optimized TeSe2Br structure.

Cell and atoms, written as CIF:
```
data_TeSe2Br
_chemical_formula_sum 'Te2 Se4 Br2'
_cell_length_a 5.0816
_cell_length_b 5.0816
_cell_length_c 7.2982
_cell_angle_alpha 90.00
_cell_angle_beta 90.00
_cell_angle_gamma 90.00
_space_group_name_H-M_alt 'I -4 m 2'
_space_group_IT_number 119
_space_group_name_Hall 'I -4 -2'
loop_
_atom_site_label
_atom_site_type_symbol
_atom_site_fract_x
_atom_site_fract_y
_atom_site_fract_z
Te1 Te 0.0000 0.0000 0.0000
Se1 Se 0.0000 0.0000 0.5000
Se2 Se 0.0000 0.5000 0.2500
Br1 Br 0.0000 0.5000 0.7500
```

Calculated values
Mass density: 6.44 g cm⁻³
N(E_F): 6.81 states/eV/cell


Run iii
DFT (GGA-PBE) results for a geometry-optimized TeSe2Br structure.

Cell and atoms, written as CIF:
```
data_TeSe2Br
_chemical_formula_sum 'Te1 Se2 Br1'
_cell_length_a 5.2513
_cell_length_b 4.0540
_cell_length_c 6.0348
_cell_angle_alpha 90.00
_cell_angle_beta 103.45
_cell_angle_gamma 90.00
_space_group_name_H-M_alt 'P 1 2/m 1'
_space_group_IT_number 10
loop_
_space_group_symop_operation_xyz
'x,y,z'
'-x,-y,-z'
'-x,y,-z'
'x,-y,z'
loop_
_atom_site_label
_atom_site_type_symbol
_atom_site_fract_x
_atom_site_fract_y
_atom_site_fract_z
Te1 Te 0.0000 0.0000 0.0000
Se1 Se 0.3904 0.5000 0.1522
Br1 Br 0.0000 0.0000 0.5000
```

Calculated values
Mass density: 4.86 g cm⁻³
N(E_F): 0.62 states/eV/cell


Run iv
DFT (GGA-PBE) results for a geometry-optimized TeSe2Br structure.

Cell and atoms, written as CIF:
```
data_TeSe2Br
_chemical_formula_sum 'Te1 Se2 Br1'
_cell_length_a 5.0948
_cell_length_b 5.0948
_cell_length_c 3.6320
_cell_angle_alpha 90.00
_cell_angle_beta 90.00
_cell_angle_gamma 90.00
_space_group_name_H-M_alt 'P 4/m m m'
_space_group_IT_number 123
_space_group_name_Hall '-P 4 2'
loop_
_atom_site_label
_atom_site_type_symbol
_atom_site_fract_x
_atom_site_fract_y
_atom_site_fract_z
Te1 Te 0.0000 0.0000 0.0000
Se1 Se 0.0000 0.5000 0.5000
Br1 Br 0.5000 0.5000 0.0000
```

Calculated values
Mass density: 6.44 g cm⁻³
N(E_F): 3.07 states/eV/cell


Q: Which of them is the least stable? A: run iv.


Run i
DFT (GGA-PBE) results for a geometry-optimized TeSe2Br structure.

Cell and atoms, written as CIF:
```
data_TeSe2Br
_chemical_formula_sum 'Te4 Se8 Br4'
_cell_length_a 7.2012
_cell_length_b 7.2012
_cell_length_c 7.2012
_cell_angle_alpha 90.00
_cell_angle_beta 90.00
_cell_angle_gamma 90.00
_space_group_name_H-M_alt 'F m -3 m'
_space_group_IT_number 225
_space_group_name_Hall '-F 4 2 3'
loop_
_atom_site_label
_atom_site_type_symbol
_atom_site_fract_x
_atom_site_fract_y
_atom_site_fract_z
Te1 Te 0.0000 0.0000 0.0000
Se1 Se 0.2500 0.2500 0.2500
Br1 Br 0.0000 0.0000 0.5000
```

Calculated values
Mass density: 6.50 g cm⁻³
N(E_F): 11.93 states/eV/cell


Run ii
DFT (GGA-PBE) results for a geometry-optimized TeSe2Br structure.

Cell and atoms, written as CIF:
```
data_TeSe2Br
_chemical_formula_sum 'Te3 Se6 Br3'
_cell_length_a 3.4609
_cell_length_b 3.4609
_cell_length_c 29.8989
_cell_angle_alpha 90.00
_cell_angle_beta 90.00
_cell_angle_gamma 120.00
_space_group_name_H-M_alt 'R -3 m'
_space_group_IT_number 166
_space_group_name_Hall '-R 3 2"'
loop_
_atom_site_label
_atom_site_type_symbol
_atom_site_fract_x
_atom_site_fract_y
_atom_site_fract_z
Te1 Te 0.0000 0.0000 0.0000
Se1 Se 0.0000 0.0000 0.0886
Br1 Br 0.0000 0.0000 0.5000
```

Calculated values
Mass density: 5.87 g cm⁻³
N(E_F): 12.24 states/eV/cell


Q: Which of them is the least stable? A: run ii.


Run i
DFT (GGA-PBE) results for a geometry-optimized TeSe2Br structure.

Cell and atoms, written as CIF:
```
data_TeSe2Br
_chemical_formula_sum 'Te1 Se2 Br1'
_cell_length_a 3.7907
_cell_length_b 3.8590
_cell_length_c 7.7489
_cell_angle_alpha 90.00
_cell_angle_beta 90.00
_cell_angle_gamma 90.00
_space_group_name_H-M_alt 'P m m 2'
_space_group_IT_number 25
loop_
_space_group_symop_operation_xyz
'x,y,z'
'-x,-y,z'
'-x,y,z'
'x,-y,z'
loop_
_atom_site_label
_atom_site_type_symbol
_atom_site_fract_x
_atom_site_fract_y
_atom_site_fract_z
Te1 Te 0.0000 0.0000 0.0000
Se1 Se 0.0000 0.0000 0.3367
Se2 Se 0.5000 0.5000 0.2985
Br1 Br 0.5000 0.5000 0.7328
```

Calculated values
Mass density: 5.35 g cm⁻³
N(E_F): 3.21 states/eV/cell


Run ii
DFT (GGA-PBE) results for a geometry-optimized TeSe2Br structure.

Cell and atoms, written as CIF:
```
data_TeSe2Br
_chemical_formula_sum 'Te3 Se6 Br3'
_cell_length_a 4.1277
_cell_length_b 4.1277
_cell_length_c 22.1447
_cell_angle_alpha 90.00
_cell_angle_beta 90.00
_cell_angle_gamma 120.00
_space_group_name_H-M_alt 'R -3 m'
_space_group_IT_number 166
_space_group_name_Hall '-R 3 2"'
loop_
_atom_site_label
_atom_site_type_symbol
_atom_site_fract_x
_atom_site_fract_y
_atom_site_fract_z
Te1 Te 0.0000 0.0000 0.0000
Se1 Se 0.0000 0.0000 0.2599
Br1 Br 0.0000 0.0000 0.5000
```

Calculated values
Mass density: 5.57 g cm⁻³
N(E_F): 9.37 states/eV/cell


Run iii
DFT (GGA-PBE) results for a geometry-optimized TeSe2Br structure.

Cell and atoms, written as CIF:
```
data_TeSe2Br
_chemical_formula_sum 'Te2 Se4 Br2'
_cell_length_a 3.7466
_cell_length_b 5.3100
_cell_length_c 10.5330
_cell_angle_alpha 90.00
_cell_angle_beta 90.00
_cell_angle_gamma 90.00
_space_group_name_H-M_alt 'I m m m'
_space_group_IT_number 71
_space_group_name_Hall '-I 2 2'
loop_
_atom_site_label
_atom_site_type_symbol
_atom_site_fract_x
_atom_site_fract_y
_atom_site_fract_z
Te1 Te 0.0000 0.0000 0.0000
Se1 Se 0.0000 0.5000 0.3002
Br1 Br 0.0000 0.0000 0.5000
```

Calculated values
Mass density: 5.79 g cm⁻³
N(E_F): 6.35 states/eV/cell


Q: Which of them is the least stable? A: run iii.


Run i
DFT (GGA-PBE) results for a geometry-optimized TeSe2Br structure.

Cell and atoms, written as CIF:
```
data_TeSe2Br
_chemical_formula_sum 'Te2 Se4 Br2'
_cell_length_a 7.2376
_cell_length_b 4.0409
_cell_length_c 7.9216
_cell_angle_alpha 90.00
_cell_angle_beta 94.01
_cell_angle_gamma 90.00
_space_group_name_H-M_alt 'C 1 2/m 1'
_space_group_IT_number 12
loop_
_space_group_symop_operation_xyz
'x,y,z'
'-x,-y,-z'
'-x,y,-z'
'x,-y,z'
'x+1/2,y+1/2,z'
'-x+1/2,-y+1/2,-z'
'-x+1/2,y+1/2,-z'
'x+1/2,-y+1/2,z'
loop_
_atom_site_label
_atom_site_type_symbol
_atom_site_fract_x
_atom_site_fract_y
_atom_site_fract_z
Te1 Te 0.0000 0.0000 0.0000
Se1 Se 0.1779 0.5000 0.2130
Br1 Br 0.0000 0.5000 0.5000
```

Calculated values
Mass density: 5.25 g cm⁻³
N(E_F): 2.69 states/eV/cell


Run ii
DFT (GGA-PBE) results for a geometry-optimized TeSe2Br structure.

Cell and atoms, written as CIF:
```
data_TeSe2Br
_chemical_formula_sum 'Te2 Se4 Br2'
_cell_length_a 4.1005
_cell_length_b 10.3269
_cell_length_c 5.9141
_cell_angle_alpha 90.00
_cell_angle_beta 99.19
_cell_angle_gamma 90.00
_space_group_name_H-M_alt 'P 1 21/m 1'
_space_group_IT_number 11
loop_
_space_group_symop_operation_xyz
'x,y,z'
'-x,-y,-z'
'-x,y+1/2,-z'
'x,-y+1/2,z'
loop_
_atom_site_label
_atom_site_type_symbol
_atom_site_fract_x
_atom_site_fract_y
_atom_site_fract_z
Te1 Te 0.0233 0.2500 0.1433
Se1 Se 0.4597 0.5532 0.8192
Br1 Br 0.0310 0.7500 0.3581
```

Calculated values
Mass density: 4.91 g cm⁻³
N(E_F): 1.85 states/eV/cell


Q: Which of them is the least stable? A: run i.


Run i
DFT (GGA-PBE) results for a geometry-optimized Te2Se2Br structure.

Cell and atoms, written as CIF:
```
data_Te2Se2Br
_chemical_formula_sum 'Te4 Se4 Br2'
_cell_length_a 8.2270
_cell_length_b 8.2270
_cell_length_c 3.8475
_cell_angle_alpha 90.00
_cell_angle_beta 90.00
_cell_angle_gamma 90.00
_space_group_name_H-M_alt 'P 4/m b m'
_space_group_IT_number 127
_space_group_name_Hall '-P 4 2ab'
loop_
_atom_site_label
_atom_site_type_symbol
_atom_site_fract_x
_atom_site_fract_y
_atom_site_fract_z
Te1 Te 0.1441 0.3559 0.0000
Se1 Se 0.1703 0.6703 0.5000
Br1 Br 0.0000 0.0000 0.5000
```

Calculated values
Mass density: 6.29 g cm⁻³
N(E_F): 8.16 states/eV/cell


Run ii
DFT (GGA-PBE) results for a geometry-optimized Te2Se2Br structure.

Cell and atoms, written as CIF:
```
data_Te2Se2Br
_chemical_formula_sum 'Te4 Se4 Br2'
_cell_length_a 8.2222
_cell_length_b 8.2222
_cell_length_c 3.8883
_cell_angle_alpha 90.00
_cell_angle_beta 90.00
_cell_angle_gamma 90.00
_space_group_name_H-M_alt 'P 4/m b m'
_space_group_IT_number 127
_space_group_name_Hall '-P 4 2ab'
loop_
_atom_site_label
_atom_site_type_symbol
_atom_site_fract_x
_atom_site_fract_y
_atom_site_fract_z
Te1 Te 0.1716 0.3284 0.0000
Se1 Se 0.1498 0.6498 0.5000
Br1 Br 0.0000 0.0000 0.0000
```

Calculated values
Mass density: 6.23 g cm⁻³
N(E_F): 8.53 states/eV/cell


Q: Which of them is the least stable? A: run i.


Run i
DFT (GGA-PBE) results for a geometry-optimized Te2Se2Br structure.

Cell and atoms, written as CIF:
```
data_Te2Se2Br
_chemical_formula_sum 'Te4 Se4 Br2'
_cell_length_a 5.2226
_cell_length_b 5.2226
_cell_length_c 12.0061
_cell_angle_alpha 90.00
_cell_angle_beta 90.00
_cell_angle_gamma 90.00
_space_group_name_H-M_alt 'I 4/m m m'
_space_group_IT_number 139
_space_group_name_Hall '-I 4 2'
loop_
_atom_site_label
_atom_site_type_symbol
_atom_site_fract_x
_atom_site_fract_y
_atom_site_fract_z
Te1 Te 0.0000 0.0000 0.1653
Se1 Se 0.0000 0.5000 0.2500
Br1 Br 0.0000 0.0000 0.5000
```

Calculated values
Mass density: 5.00 g cm⁻³
N(E_F): 7.01 states/eV/cell


Run ii
DFT (GGA-PBE) results for a geometry-optimized Te2Se2Br structure.

Cell and atoms, written as CIF:
```
data_Te2Se2Br
_chemical_formula_sum 'Te4 Se4 Br2'
_cell_length_a 6.9754
_cell_length_b 7.6930
_cell_length_c 7.9803
_cell_angle_alpha 67.39
_cell_angle_beta 67.49
_cell_angle_gamma 78.70
_space_group_name_H-M_alt 'P -1'
_space_group_IT_number 2
loop_
_space_group_symop_operation_xyz
'x,y,z'
'-x,-y,-z'
loop_
_atom_site_label
_atom_site_type_symbol
_atom_site_fract_x
_atom_site_fract_y
_atom_site_fract_z
Te1 Te 0.1389 0.0070 0.2012
Te2 Te 0.1497 0.5331 0.6672
Se1 Se 0.1144 0.2401 0.4949
Se2 Se 0.1589 0.7569 0.8504
Br1 Br 0.4418 0.2937 0.8660
```

Calculated values
Mass density: 4.49 g cm⁻³
N(E_F): 3.98 states/eV/cell


Run iii
DFT (GGA-PBE) results for a geometry-optimized Te2Se2Br structure.

Cell and atoms, written as CIF:
```
data_Te2Se2Br
_chemical_formula_sum 'Te8 Se8 Br4'
_cell_length_a 16.6500
_cell_length_b 3.8890
_cell_length_c 12.3288
_cell_angle_alpha 90.00
_cell_angle_beta 114.15
_cell_angle_gamma 90.00
_space_group_name_H-M_alt 'C 1 2/m 1'
_space_group_IT_number 12
loop_
_space_group_symop_operation_xyz
'x,y,z'
'-x,-y,-z'
'-x,y,-z'
'x,-y,z'
'x+1/2,y+1/2,z'
'-x+1/2,-y+1/2,-z'
'-x+1/2,y+1/2,-z'
'x+1/2,-y+1/2,z'
loop_
_atom_site_label
_atom_site_type_symbol
_atom_site_fract_x
_atom_site_fract_y
_atom_site_fract_z
Te1 Te 0.0898 0.0000 0.3316
Te2 Te 0.1736 0.5000 0.9068
Se1 Se 0.0600 0.5000 0.1752
Se2 Se 0.1493 0.0000 0.7520
Br1 Br 0.1354 0.5000 0.5278
```

Calculated values
Mass density: 4.50 g cm⁻³
N(E_F): 5.75 states/eV/cell


Q: Which of them is the least stable? A: run i.


Run i
DFT (GGA-PBE) results for a geometry-optimized TeSe2Br2 structure.

Cell and atoms, written as CIF:
```
data_TeSe2Br2
_chemical_formula_sum 'Te2 Se4 Br4'
_cell_length_a 7.8653
_cell_length_b 7.8653
_cell_length_c 7.0217
_cell_angle_alpha 90.00
_cell_angle_beta 90.00
_cell_angle_gamma 90.00
_space_group_name_H-M_alt 'P 4/m b m'
_space_group_IT_number 127
_space_group_name_Hall '-P 4 2ab'
loop_
_atom_site_label
_atom_site_type_symbol
_atom_site_fract_x
_atom_site_fract_y
_atom_site_fract_z
Te1 Te 0.0000 0.0000 0.0000
Se1 Se 0.0983 0.4017 0.5000
Br1 Br 0.2485 0.2515 0.0000
```

Calculated values
Mass density: 3.40 g cm⁻³
N(E_F): 9.97 states/eV/cell


Run ii
DFT (GGA-PBE) results for a geometry-optimized TeSe2Br2 structure.

Cell and atoms, written as CIF:
```
data_TeSe2Br2
_chemical_formula_sum 'Te2 Se4 Br4'
_cell_length_a 6.1669
_cell_length_b 6.1669
_cell_length_c 7.8675
_cell_angle_alpha 90.00
_cell_angle_beta 90.00
_cell_angle_gamma 90.00
_space_group_name_H-M_alt 'I 4/m m m'
_space_group_IT_number 139
_space_group_name_Hall '-I 4 2'
loop_
_atom_site_label
_atom_site_type_symbol
_atom_site_fract_x
_atom_site_fract_y
_atom_site_fract_z
Te1 Te 0.0000 0.0000 0.0000
Se1 Se 0.0000 0.0000 0.3565
Br1 Br 0.0000 0.5000 0.2500
```

Calculated values
Mass density: 4.94 g cm⁻³
N(E_F): 6.41 states/eV/cell


Q: Which of them is the least stable? A: run ii.


Run i
DFT (GGA-PBE) results for a geometry-optimized Te3SeBr structure.

Cell and atoms, written as CIF:
```
data_Te3SeBr
_chemical_formula_sum 'Te3 Se1 Br1'
_cell_length_a 5.4982
_cell_length_b 5.4982
_cell_length_c 5.4982
_cell_angle_alpha 90.00
_cell_angle_beta 90.00
_cell_angle_gamma 90.00
_space_group_name_H-M_alt 'P m -3 m'
_space_group_IT_number 221
_space_group_name_Hall '-P 4 2 3'
loop_
_atom_site_label
_atom_site_type_symbol
_atom_site_fract_x
_atom_site_fract_y
_atom_site_fract_z
Te1 Te 0.0000 0.0000 0.5000
Se1 Se 0.0000 0.0000 0.0000
Br1 Br 0.5000 0.5000 0.5000
```

Calculated values
Mass density: 5.41 g cm⁻³
N(E_F): 6.90 states/eV/cell


Run ii
DFT (GGA-PBE) results for a geometry-optimized Te3SeBr structure.

Cell and atoms, written as CIF:
```
data_Te3SeBr
_chemical_formula_sum 'Te18 Se6 Br6'
_cell_length_a 6.9133
_cell_length_b 6.9133
_cell_length_c 24.9931
_cell_angle_alpha 90.00
_cell_angle_beta 90.00
_cell_angle_gamma 120.00
_space_group_name_H-M_alt 'R 3 c'
_space_group_IT_number 161
_space_group_name_Hall 'R 3 -2"c'
loop_
_atom_site_label
_atom_site_type_symbol
_atom_site_fract_x
_atom_site_fract_y
_atom_site_fract_z
Te1 Te 0.1051 0.4012 0.0000
Se1 Se 0.0000 0.0000 0.4359
Br1 Br 0.0000 0.0000 0.1070
```

Calculated values
Mass density: 5.22 g cm⁻³
N(E_F): 24.64 states/eV/cell


Run iii
DFT (GGA-PBE) results for a geometry-optimized Te3SeBr structure.

Cell and atoms, written as CIF:
```
data_Te3SeBr
_chemical_formula_sum 'Te6 Se2 Br2'
_cell_length_a 6.6270
_cell_length_b 7.0423
_cell_length_c 10.4064
_cell_angle_alpha 85.92
_cell_angle_beta 76.60
_cell_angle_gamma 75.56
_space_group_name_H-M_alt 'P -1'
_space_group_IT_number 2
loop_
_space_group_symop_operation_xyz
'x,y,z'
'-x,-y,-z'
loop_
_atom_site_label
_atom_site_type_symbol
_atom_site_fract_x
_atom_site_fract_y
_atom_site_fract_z
Te1 Te 0.0535 0.2047 0.3950
Te2 Te 0.1937 0.5458 0.3072
Te3 Te 0.3131 0.9785 0.1718
Se1 Se 0.0643 0.8542 0.0666
Br1 Br 0.4108 0.6009 0.6779
```

Calculated values
Mass density: 3.93 g cm⁻³


Q: Which of them is the least stable? A: run i.